Here is a geometry-optimized Co2Hg structure from the Alexandria database. Energies are from GGA-PBEsol.

a b c (Å): 2.806 2.806 5.541
angles (deg): 104.67 104.67 90.00
Positions (direct):
1 Co 0.689 0.689 0.378
2 Co 0.311 0.311 0.622
3 Hg 0.000 0.000 0.000

Computed properties:
Total moment in Bohr magnetons per cell: 3.13
SG: I4/mmm
Calculated formation energy in eV/f.u.: 0.90
Energy in eV/f.u.: -15.139